Record 1
Entry from Alexandria via LeMat-Bulk: an optimized crystal structure of SrIr3F (PBE-GGA).

abc: 4.4718 4.4718 4.4718
angles: 90.00 90.00 90.00
Atoms (fractional coordinates):
Sr 0.5000 0.5000 0.5000
Ir 0.0000 0.5000 0.0000
Ir 0.0000 0.0000 0.5000
Ir 0.5000 0.0000 0.0000
F 0.0000 0.0000 0.0000

Summary:
Energy relative to the elements, uncorrected   0.86 eV per atom
Energy above the lowest structure with this stoichiometry   0.0000 eV per atom
Symmetry   Pm-3m, No. 221
Volume   89.42 Å³/cell

---

Record 2
Entry from Alexandria via LeMat-Bulk: an optimized crystal structure of SrIrF (PBE-GGA).

abc: 6.5175 3.0627 11.6591
angles: 90.00 90.00 90.00
Atoms (fractional coordinates):
Sr 0.7359 0.2500 0.8147
Sr 0.7641 0.7500 0.3147
Sr 0.2641 0.7500 0.1853
Sr 0.2359 0.2500 0.6853
Ir 0.3817 0.2500 0.4433
Ir 0.1183 0.7500 0.9433
Ir 0.6183 0.7500 0.5567
Ir 0.8817 0.2500 0.0567
F 0.0697 0.2500 0.3220
F 0.4303 0.7500 0.8220
F 0.9303 0.7500 0.6780
F 0.5697 0.2500 0.1780

Summary:
Energy relative to the elements, uncorrected   -1.30 eV per atom
Energy above the lowest structure with this stoichiometry   0.6785 eV per atom
Symmetry   Pnma, No. 62
Volume   232.73 Å³/cell

---

Record 3
Entry from Alexandria via LeMat-Bulk: an optimized crystal structure of SrIr3F (PBE-GGA).

abc: 5.1777 5.1777 5.1777
angles: 90.00 90.00 90.00
Site moments in Bohr magnetons follow the coordinates.
Atoms (fractional coordinates):
Sr 0.0000 0.0000 0.0000  -0.08
Ir 0.0000 0.5000 0.0000  1.28
Ir 0.0000 0.0000 0.5000  1.16
Ir 0.5000 0.0000 0.0000  1.25
F 0.5000 0.5000 0.5000  0.22

Summary:
Energy relative to the elements, uncorrected   2.76 eV per atom
Energy above the lowest structure with this stoichiometry   1.8944 eV per atom
Symmetry   Pm-3m, No. 221
Volume   138.81 Å³/cell

---

Record 4
Entry from Alexandria via LeMat-Bulk: an optimized crystal structure of SrIrF (PBE-GGA).

abc: 3.9603 4.1197 8.6133
angles: 81.55 82.30 113.66
Atoms (fractional coordinates):
Sr 0.5491 0.0880 0.0113
Sr 0.8434 0.3821 0.4228
Ir 0.3754 0.5573 0.7171
Ir 0.0264 0.9331 0.7171
F 0.2630 0.0627 0.3108
F 0.8566 0.6564 0.1235

Summary:
Energy relative to the elements, uncorrected   -1.92 eV per atom
Energy above the lowest structure with this stoichiometry   0.0548 eV per atom
Symmetry   Cm, No. 8
Volume   124.40 Å³/cell

---

Record 5
Entry from Alexandria via LeMat-Bulk: an optimized crystal structure of Sr2IrF6 (PBE-GGA).

abc: 5.4923 6.7304 7.7215
angles: 90.00 98.02 90.00
Site moments in Bohr magnetons follow the coordinates.
Atoms (fractional coordinates):
Sr 0.9585 0.4017 0.7506  0.00
Sr 0.5415 0.9017 0.7494  0.00
Sr 0.4585 0.0983 0.2506  0.00
Sr 0.0415 0.5983 0.2494  0.00
Ir 0.5000 0.5000 0.0000  0.74
Ir 0.0000 0.0000 0.5000  0.74
F 0.8830 0.9493 0.2393  0.00
F 0.8979 0.7102 0.5489  0.00
F 0.8580 0.6838 0.9287  0.08
F 0.6420 0.1838 0.5713  0.08
F 0.6021 0.2102 0.9511  0.00
F 0.6170 0.4493 0.2607  0.00
F 0.1170 0.0507 0.7607  0.00
F 0.1021 0.2898 0.4511  0.00
F 0.1420 0.3162 0.0713  0.08
F 0.3580 0.8162 0.4287  0.08
F 0.3979 0.7898 0.0489  0.00
F 0.3830 0.5507 0.7393  0.00

Summary:
Energy relative to the elements, uncorrected   -2.75 eV per atom
Symmetry   P2_1/c, No. 14
Volume   282.64 Å³/cell

---

Record 6
Entry from Alexandria via LeMat-Bulk: an optimized crystal structure of SrIrF (PBE-GGA).

abc: 3.6177 3.6176 9.0446
angles: 101.53 101.53 90.04
Atoms (fractional coordinates):
Sr 0.2231 0.0532 0.0195
Sr 0.9206 0.7513 0.4147
Ir 0.5720 0.9031 0.7171
Ir 0.0720 0.4030 0.7171
F 0.3729 0.2027 0.3187
F 0.7713 0.6008 0.1154

Summary:
Energy relative to the elements, uncorrected   -1.84 eV per atom
Energy above the lowest structure with this stoichiometry   0.1321 eV per atom
Symmetry   I4/mmm, No. 139
Volume   113.54 Å³/cell

---

Record 7
Entry from Alexandria via LeMat-Bulk: an optimized crystal structure of SrIrF (PBE-GGA).

abc: 16.3530 4.6288 3.0076
angles: 90.00 90.00 90.00
Atoms (fractional coordinates):
Sr 0.5937 0.2500 0.0001
Sr 0.9063 0.7500 0.5001
Sr 0.4063 0.7500 0.9999
Sr 0.0937 0.2500 0.4999
Ir 0.2595 0.2500 0.9987
Ir 0.2405 0.7500 0.4987
Ir 0.7405 0.7500 0.0013
Ir 0.7595 0.2500 0.5013
F 0.0000 0.0000 0.0000
F 0.5000 0.5000 0.5000
F 0.5000 0.0000 0.5000
F 0.0000 0.5000 0.0000

Summary:
Energy relative to the elements, uncorrected   -1.61 eV per atom
Energy above the lowest structure with this stoichiometry   0.3703 eV per atom
Symmetry   Cmcm, No. 63
Volume   227.66 Å³/cell

---

Record 8
Entry from Alexandria via LeMat-Bulk: an optimized crystal structure of SrIrF (PBE-GGA).

abc: 7.5422 4.3450 9.2532
angles: 90.00 90.00 90.00
Atoms (fractional coordinates):
Sr 0.8533 0.2500 0.3731
Sr 0.6467 0.7500 0.8731
Sr 0.1467 0.7500 0.6269
Sr 0.3533 0.2500 0.1269
Ir 0.4569 0.2500 0.4675
Ir 0.0431 0.7500 0.9675
Ir 0.5431 0.7500 0.5325
Ir 0.9569 0.2500 0.0325
F 0.0038 0.2500 0.6059
F 0.4962 0.7500 0.1059
F 0.9962 0.7500 0.3941
F 0.5038 0.2500 0.8941

Summary:
Energy relative to the elements, uncorrected   -1.56 eV per atom
Energy above the lowest structure with this stoichiometry   0.4142 eV per atom
Symmetry   Pnma, No. 62
Volume   303.23 Å³/cell

---

Record 9
Entry from Alexandria via LeMat-Bulk: an optimized crystal structure of Sr3IrF (PBE-GGA).

abc: 5.0567 5.0567 5.0567
angles: 90.00 90.00 90.00
Atoms (fractional coordinates):
Sr 0.0000 0.5000 0.0000
Sr 0.0000 0.0000 0.5000
Sr 0.5000 0.0000 0.0000
Ir 0.5000 0.5000 0.5000
F 0.0000 0.0000 0.0000

Summary:
Energy relative to the elements, uncorrected   -0.93 eV per atom
Energy above the lowest structure with this stoichiometry   0.0000 eV per atom
Symmetry   Pm-3m, No. 221
Volume   129.30 Å³/cell

---

Record 10
Entry from Alexandria via LeMat-Bulk: an optimized crystal structure of SrIrF (PBE-GGA).

abc: 4.1284 8.6609 8.6592
angles: 27.58 103.75 91.11
Atoms (fractional coordinates):
Sr 0.2518 0.4774 0.5310
Sr 0.0588 0.2842 0.1416
Ir 0.4802 0.7058 0.0167
Ir 0.8305 0.0558 0.6560
F 0.3613 0.5868 0.7277
F 0.9493 0.1748 0.9449

Summary:
Energy relative to the elements, uncorrected   -1.98 eV per atom
Energy above the lowest structure with this stoichiometry   0.0000 eV per atom
Symmetry   C2/m, No. 12
Volume   126.02 Å³/cell

---

Record 11
Entry from Alexandria via LeMat-Bulk: an optimized crystal structure of Sr2IrF8 (PBE-GGA).

abc: 4.7246 7.0112 7.0112
angles: 120.00 90.00 90.00
Site moments in Bohr magnetons follow the coordinates.
Atoms (fractional coordinates):
Sr 0.7494 0.3333 0.6667  0.00
Sr 0.2506 0.6667 0.3333  0.00
Ir 0.5000 0.0000 0.0000  0.71
F 0.7515 0.6667 0.3333  0.00
F 0.2485 0.3333 0.6667  0.00
F 0.2695 0.2694 0.1347  0.04
F 0.7305 0.7306 0.8653  0.04
F 0.7305 0.1347 0.8653  0.04
F 0.2695 0.8653 0.1347  0.04
F 0.2695 0.8653 0.7306  0.04
F 0.7305 0.1347 0.2694  0.04

Summary:
Energy relative to the elements, uncorrected   -2.72 eV per atom
Symmetry   P-3m1, No. 164
Volume   201.13 Å³/cell

---

Record 12
Entry from Alexandria via LeMat-Bulk: an optimized crystal structure of SrIrF (PBE-GGA).

abc: 3.5221 9.0519 3.5220
angles: 88.98 89.98 89.74
Atoms (fractional coordinates):
Sr 0.2847 0.4967 0.1001
Sr 0.7885 0.1029 0.6148
Ir 0.7709 0.7671 0.6030
Ir 0.2702 0.8324 0.1002
F 0.2894 0.2096 0.1125
F 0.7870 0.3899 0.6034

Summary:
Energy relative to the elements, uncorrected   -1.79 eV per atom
Energy above the lowest structure with this stoichiometry   0.1827 eV per atom
Symmetry   P1, No. 1
Volume   112.27 Å³/cell